Entry 1:
Compound: AcTbNdTm
Source: the Alexandria database
Functional: GGA-PBE
Structure: relaxed

Cell: 5.8601 5.8601 5.8601 Å, 60.00 60.00 60.00°
Closest atoms and distances in Å follow each position.
Sites, in units of the cell vectors:
1 Ac 0.0000 0.0000 0.0000  4 Tb 3.59, 4 Tm 3.59
2 Tb 0.7500 0.7500 0.7500  4 Nd 3.59, 4 Ac 3.59
3 Nd 0.5000 0.5000 0.5000  4 Tb 3.59, 4 Tm 3.59
4 Tm 0.2500 0.2500 0.2500  4 Ac 3.59, 4 Nd 3.59

Excess energy over the best structure of this formula in the dataset: 0.0566 eV per atom
Space-group type: No. 216



Entry 2:
Compound: Rb3PuBr6
Source: the Alexandria database
Functional: GGA-PBE
Structure: relaxed

Cell: 8.1839 8.7567 14.3298 Å, 90.00 124.71 90.00°
Closest atoms and distances in Å follow each position.
Sites, in units of the cell vectors:
1 Rb 0.0000 0.0000 0.0000  6 Br 3.40-3.46
2 Rb 0.0000 0.5000 0.5000  6 Br 3.40-3.46
3 Rb 0.2195 0.0746 0.7489  6 Br 3.49-3.71
4 Rb 0.2195 0.4254 0.2489  6 Br 3.49-3.71
5 Rb 0.7805 0.5746 0.7511  6 Br 3.49-3.71
6 Rb 0.7805 0.9254 0.2511  6 Br 3.49-3.71
7 Pu 0.5000 0.0000 0.5000  6 Br 2.88-2.90
8 Pu 0.5000 0.5000 0.0000  6 Br 2.88-2.90
9 Br 0.1579 0.1808 0.4383  1 Pu 2.88
10 Br 0.1579 0.3192 0.9383  1 Pu 2.88
11 Br 0.2622 0.7240 0.4288  1 Pu 2.90
12 Br 0.2622 0.7760 0.9288  1 Pu 2.90
13 Br 0.4024 0.0556 0.2747  1 Pu 2.89
14 Br 0.4024 0.4444 0.7747  1 Pu 2.89
15 Br 0.5976 0.5556 0.2253  1 Pu 2.89
16 Br 0.5976 0.9444 0.7253  1 Pu 2.89
17 Br 0.7378 0.2240 0.0712  1 Pu 2.90
18 Br 0.7378 0.2760 0.5712  1 Pu 2.90
19 Br 0.8421 0.6808 0.0617  1 Pu 2.88
20 Br 0.8421 0.8192 0.5617  1 Pu 2.88

Formation energy (no corrections): -1689 meV/atom
Space-group type: No. 14



Entry 3:
Compound: Ac2NdS3F3
Source: the Alexandria database
Functional: GGA-PBE
Structure: relaxed

Cell: 7.5331 7.5331 4.0772 Å, 90.00 90.00 120.00°
Closest atoms and distances in Å follow each position.
Sites, in units of the cell vectors:
1 Ac 0.3333 0.6667 0.0000  3 S 2.83, 6 F 3.04
2 Ac 0.6667 0.3333 0.0000  3 S 2.83, 6 F 3.04
3 Nd 0.0000 0.0000 0.5000  6 S 2.82
4 S 0.0000 0.7411 0.0000  2 Nd 2.82, 2 Ac 2.83, 2 F 3.15
5 S 0.2589 0.2589 0.0000  2 Nd 2.82, 2 Ac 2.83, 2 F 3.15
6 S 0.7411 0.0000 0.0000  2 Nd 2.82, 2 Ac 2.83, 2 F 3.15
7 F 0.0000 0.4222 0.5000  4 Ac 3.04, 2 S 3.15, 1 Nd 3.18
8 F 0.4222 0.0000 0.5000  4 Ac 3.04, 2 S 3.15, 1 Nd 3.18
9 F 0.5778 0.5778 0.5000  4 Ac 3.04, 2 S 3.15, 1 Nd 3.18

Formation energy (no corrections): -2661 meV/atom
Space-group type: No. 189